No. 1
A plane-wave DFT calculation with PBE-GGA was carried out for a geometry-optimized Y5CdPd structure.

- total moment (μB per cell) = 0.00
- density of states at the Fermi level (states/eV per atom) = 1.153
- total DFT energy (no corrections) (eV/atom) = -5.696
- E_form (eV/atom) = -0.2060
- density (Mg/m³) = 5.5
- SG = No. 15

a = 5.8779 Å, b = 5.8779 Å, c = 12.1530 Å
α = 79.05°, β = 79.05°, γ = 79.09°
Fractional positions:
1 Y 0.7869 0.4732 0.4273
2 Y 0.5745 0.9179 0.6254
3 Y 0.0821 0.4255 0.8746
4 Y 0.4732 0.7869 0.9273
5 Y 0.9977 0.0023 0.2500
6 Y 0.2131 0.5268 0.5727
7 Y 0.9179 0.5745 0.1254
8 Y 0.0023 0.9977 0.7500
9 Y 0.5268 0.2131 0.0727
10 Y 0.4255 0.0821 0.3746
11 Pd 0.0000 0.0000 0.5000
12 Pd 0.0000 0.0000 0.0000
13 Cd 0.4036 0.5964 0.2500
14 Cd 0.5964 0.4036 0.7500


No. 2
A plane-wave DFT calculation with PBE-GGA was carried out for a geometry-optimized Tb8SnHg2 structure.

- total moment (μB per cell) = 0.00
- density of states at the Fermi level (states/eV per atom) = 1.357
- total DFT energy (no corrections) (eV/atom) = -3.990
- E_form (eV/atom) = -0.2041
- density (Mg/m³) = 9.1
- SG = No. 12

a = 5.4860 Å, b = 8.4777 Å, c = 8.4777 Å
α = 117.80°, β = 100.09°, γ = 100.09°
Fractional positions:
1 Tb 0.5000 0.7740 0.2260
2 Tb 0.1072 0.3166 0.0897
3 Tb 0.6996 0.3975 0.3975
4 Tb 0.3004 0.6025 0.6025
5 Tb 0.1072 0.0897 0.3166
6 Tb 0.8928 0.6834 0.9103
7 Tb 0.8928 0.9103 0.6834
8 Tb 0.5000 0.2260 0.7740
9 Sn 0.5000 0.0000 0.0000
10 Hg 0.0000 0.6926 0.3074
11 Hg 0.0000 0.3074 0.6926


No. 3
A plane-wave DFT calculation with PBE-GGA was carried out for a geometry-optimized Li3ErGa3 structure.

- total moment (μB per cell) = 0.00
- density of states at the Fermi level (states/eV per atom) = 0.455
- total DFT energy (no corrections) (eV/atom) = -2.566
- E_form (eV/atom) = 0.2032
- density (Mg/m³) = 4.6
- SG = No. 223

a = 6.6184 Å, b = 6.6184 Å, c = 6.6184 Å
α = 90.00°, β = 90.00°, γ = 90.00°
Fractional positions:
1 Li 0.5000 0.0000 0.7500
2 Li 0.0000 0.7500 0.5000
3 Li 0.2500 0.5000 0.0000
4 Li 0.0000 0.2500 0.5000
5 Li 0.5000 0.0000 0.2500
6 Li 0.7500 0.5000 0.0000
7 Ga 0.0000 0.5000 0.2500
8 Ga 0.5000 0.7500 0.0000
9 Ga 0.5000 0.2500 0.0000
10 Ga 0.0000 0.5000 0.7500
11 Ga 0.7500 0.0000 0.5000
12 Ga 0.2500 0.0000 0.5000
13 Er 0.5000 0.5000 0.5000
14 Er 0.0000 0.0000 0.0000


No. 4
A plane-wave DFT calculation with PBE-GGA was carried out for a geometry-optimized LaZrPb2 structure.

- total moment (μB per cell) = 0.00
- density of states at the Fermi level (states/eV per atom) = 0.599
- total DFT energy (no corrections) (eV/atom) = -5.458
- E_form (eV/atom) = -0.2348
- density (Mg/m³) = 9.7
- SG = No. 65

a = 5.7576 Å, b = 5.7576 Å, c = 3.4758 Å
α = 90.00°, β = 90.00°, γ = 106.17°
Fractional positions:
1 Pb 0.5000 0.5000 0.0000
2 Pb 0.0000 0.0000 0.0000
3 Zr 0.5000 0.0000 0.5000
4 La 0.0000 0.5000 0.5000